{"formula": "Rb3MoP", "functional": "GGA-PBEsol", "state": "optimized geometry", "crystal_system": "cubic", "cell": [[-2.991, -2.791, 5.058], [5.774, -1.261, 2.718], [-0.186, 5.739, 3.057]], "species": ["P", "Mo", "Rb", "Rb", "Rb"], "frac_coords": [[0.500, 0.500, 0.500], [0.000, 0.000, 0.000], [0.000, 0.500, 0.000], [0.000, 0.000, 0.500], [0.500, 0.000, 0.000]]}

---

{"formula": "ReMoP2", "functional": "GGA-PBEsol", "state": "optimized geometry", "crystal_system": "cubic", "e_above_lowest_polymorph_ev_per_atom": 0.048, "cell": [[-3.936, -1.288, 0.514], [-0.875, -2.972, 2.796], [-2.072, 0.965, 3.492]], "species": ["Mo", "P", "P", "Re"], "frac_coords": [[0.000, 0.000, 0.000], [0.250, 0.250, 0.250], [0.750, 0.750, 0.750], [0.500, 0.500, 0.500]]}

---

{"formula": "ReMo2P", "functional": "GGA-PBEsol", "state": "optimized geometry", "crystal_system": "orthorhombic", "cell": [[-1.221, 1.782, -1.904], [1.662, -2.069, -3.002], [-3.970, -2.920, -0.186]], "species": ["Mo", "Mo", "P", "Re"], "frac_coords": [[0.000, 0.000, 0.241], [0.000, 0.000, 0.759], [0.500, 0.500, 0.000], [0.500, 0.500, 0.500]]}

---

{"formula": "ReMo2P", "functional": "GGA-PBEsol", "state": "optimized geometry", "crystal_system": "tetragonal", "cell": [[2.878, 0.000, 0.000], [0.000, 2.878, 0.000], [0.000, 0.000, 6.793]], "species": ["Mo", "Mo", "P", "Re"], "frac_coords": [[0.000, 0.000, 0.991], [0.500, 0.500, 0.283], [0.000, 0.000, 0.508], [0.500, 0.500, 0.718]]}

---

{"formula": "ReMoP", "functional": "GGA-PBEsol", "state": "optimized geometry", "crystal_system": "cubic", "cell": [[-0.115, 1.155, 3.924], [-2.390, -2.000, 2.652], [1.679, -2.372, 2.881]], "species": ["Mo", "P", "Re"], "frac_coords": [[0.250, 0.250, 0.250], [0.000, 0.000, 0.000], [0.500, 0.500, 0.500]]}

---

{"formula": "ReMoP2", "functional": "GGA-PBEsol", "state": "optimized geometry", "crystal_system": "monoclinic", "e_above_lowest_polymorph_ev_per_atom": 0.000, "cell": [[3.029, 0.000, 0.000], [0.000, 4.381, -0.006], [-1.515, -1.148, 4.013]], "species": ["Mo", "P", "P", "Re"], "frac_coords": [[0.743, 0.178, 0.485], [0.002, 0.037, 0.005], [0.247, 0.710, 0.493], [0.508, 0.575, 0.017]]}

---

{"formula": "ReMo3P", "functional": "GGA-PBEsol", "state": "optimized geometry", "crystal_system": "cubic", "cell": [[4.332, 0.000, 0.000], [0.000, 4.332, 0.000], [0.000, 0.000, 4.332]], "species": ["Re", "Mo", "Mo", "Mo", "P"], "frac_coords": [[0.500, 0.500, 0.500], [0.000, 0.500, 0.000], [0.000, 0.000, 0.500], [0.500, 0.000, 0.000], [0.000, 0.000, 0.000]]}

---

{"formula": "Mo2PRh", "functional": "GGA-PBEsol", "state": "optimized geometry", "crystal_system": "orthorhombic", "cell": [[3.148, 0.000, 0.000], [0.000, 4.092, 0.000], [0.000, 0.000, 4.318]], "species": ["Mo", "Mo", "P", "Rh"], "frac_coords": [[0.000, 0.000, 0.000], [0.500, 0.500, 0.000], [0.500, 0.000, 0.500], [0.000, 0.500, 0.500]]}

---

{"formula": "Mo2PRh", "functional": "GGA-PBEsol", "state": "optimized geometry", "crystal_system": "orthorhombic", "cell": [[2.796, 0.000, 0.000], [0.000, 4.731, -0.016], [0.000, -2.179, 4.199]], "species": ["Mo", "Mo", "P", "Rh"], "frac_coords": [[0.000, 0.500, 0.000], [0.000, 0.000, 0.500], [0.500, 0.000, 0.000], [0.500, 0.500, 0.500]]}

---

{"formula": "MoP2Rh", "functional": "GGA-PBEsol", "state": "optimized geometry", "crystal_system": "tetragonal", "cell": [[-1.209, -0.690, 3.160], [3.225, -0.518, 1.120], [-0.682, 4.951, -1.067]], "species": ["Mo", "P", "P", "Rh"], "frac_coords": [[0.250, 0.750, 0.500], [0.000, 0.000, 0.000], [0.750, 0.250, 0.500], [0.500, 0.500, 0.000]]}

---

{"formula": "Mo2PRh", "functional": "GGA-PBEsol", "state": "optimized geometry", "crystal_system": "orthorhombic", "cell": [[-1.054, -2.613, -0.585], [2.112, -1.622, 3.437], [-4.012, 2.954, 1.109]], "species": ["Mo", "Mo", "P", "Rh"], "frac_coords": [[0.006, 0.006, 0.012], [0.216, 0.715, 0.431], [0.495, 0.496, 0.991], [0.783, 0.283, 0.566]]}

---

{"formula": "MoP2Rh", "functional": "GGA-PBEsol", "state": "optimized geometry", "crystal_system": "trigonal", "cell": [[-0.128, -2.423, -1.700], [2.163, -2.019, 0.134], [-2.936, -5.001, 4.767]], "species": ["Mo", "P", "P", "Rh"], "frac_coords": [[0.259, 0.259, 0.224], [0.002, 0.002, 0.993], [0.750, 0.750, 0.749], [0.489, 0.489, 0.534]]}

---

Number 1: formation enthalpy at 0 K 1.62 eV/atom. Number 2: formation enthalpy at 0 K -0.35 eV/atom. Number 3: formation enthalpy at 0 K -0.07 eV/atom. Number 4: formation enthalpy at 0 K -0.06 eV/atom. Number 5: formation enthalpy at 0 K 0.26 eV/atom. Number 6: formation enthalpy at 0 K -0.40 eV/atom. Number 7: formation enthalpy at 0 K 0.81 eV/atom. Number 8: formation enthalpy at 0 K -0.06 eV/atom. Number 9: formation enthalpy at 0 K -0.10 eV/atom. Number 10: formation enthalpy at 0 K -0.18 eV/atom. Number 11: formation enthalpy at 0 K -0.35 eV/atom. Number 12: formation enthalpy at 0 K -0.22 eV/atom.